Mg2Cr2O7, optimized geometry, DFT PBE+U; symmetry = C2/c (15); final energy = -0.4864 Ry per atom; total magnetization = 4.00 Bohr magnetons per cell
1.0
-0.624 -2.034 -5.249
-0.270 -5.005 2.638
-9.022 4.176 1.978
Mg Cr O
4 4 14
direct
0.733 0.378 0.982
0.622 0.267 0.518
0.378 0.733 0.482
0.267 0.622 0.018
0.817 0.791 0.789
0.183 0.209 0.211
0.209 0.183 0.711
0.791 0.817 0.289
0.385 0.380 0.368
0.917 0.600 0.894
0.615 0.620 0.632
0.620 0.615 0.132
0.907 0.093 0.250
0.083 0.400 0.106
0.980 0.284 0.617
0.284 0.980 0.117
0.600 0.917 0.394
0.400 0.083 0.606
0.716 0.020 0.883
0.093 0.907 0.750
0.380 0.385 0.868
0.020 0.716 0.383